1.
First-principles (GGA-PBE) data for an optimized crystal structure of HoEr2Cd3, as listed in Alexandria via LeMat-Bulk.

space group	P-3m1 (164)
DOS at the Fermi energy	5.40	states/eV/cell
VASP energy	-3.059	eV/atom
total moment	0.00	μB/cell

Unit cell a=5.2505 b=5.2505 c=6.4512 alpha=90.00 beta=90.00 gamma=120.00
Element x y z (fractional)
Ho1 0.0000 0.0000 0.0000
Er1 0.3333 0.6667 0.6653
Er2 0.6667 0.3333 0.3347
Cd1 0.0000 0.0000 0.5000
Cd2 0.3333 0.6667 0.1664
Cd3 0.6667 0.3333 0.8336

=====

2.
First-principles (GGA-PBE) data for an optimized crystal structure of HoEr3Cd2, as listed in Alexandria via LeMat-Bulk.

space group	P4/mmm (123)
DOS at the Fermi energy	6.24	states/eV/cell
VASP energy	-3.543	eV/atom
total moment	0.00	μB/cell

Unit cell a=3.5699 b=3.5699 c=12.9655 alpha=90.00 beta=90.00 gamma=90.00
Element x y z (fractional)
Ho1 0.0000 0.0000 0.0000
Er1 0.5000 0.5000 0.1896
Er2 0.5000 0.5000 0.5000
Er3 0.5000 0.5000 0.8104
Cd1 0.0000 0.0000 0.3471
Cd2 0.0000 0.0000 0.6529

=====

3.
First-principles (GGA-PBE) data for an optimized crystal structure of Ho4Er5Cd2, as listed in Alexandria via LeMat-Bulk.

space group	P2/m (10)
DOS at the Fermi energy	16.06	states/eV/cell
VASP energy	-3.885	eV/atom
total moment	0.00	μB/cell

Unit cell a=8.4947 b=3.4468 c=11.0690 alpha=90.00 beta=93.31 gamma=90.00
Element x y z (fractional)
Ho1 0.1468 0.0000 0.3835
Ho2 0.2747 0.0000 0.9502
Ho3 0.7253 0.0000 0.0498
Ho4 0.8532 0.0000 0.6165
Er1 0.2025 0.5000 0.6661
Er2 0.4315 0.5000 0.2040
Er3 0.5000 0.5000 0.5000
Er4 0.5685 0.5000 0.7960
Er5 0.7975 0.5000 0.3339
Cd1 0.0559 0.5000 0.1331
Cd2 0.9441 0.5000 0.8669

=====

4.
First-principles (GGA-PBE) data for an optimized crystal structure of HoEr2Cd8, as listed in Alexandria via LeMat-Bulk.

space group	C2/m (12)
DOS at the Fermi energy	5.96	states/eV/cell
VASP energy	-2.123	eV/atom
total moment	0.00	μB/cell

Unit cell a=8.8670 b=8.8670 c=5.3287 alpha=106.67 beta=106.67 gamma=125.76
Element x y z (fractional)
Ho1 0.0000 0.0000 0.0000
Er1 0.3122 0.6878 0.5000
Er2 0.6878 0.3122 0.5000
Cd1 0.1013 0.3621 0.7480
Cd2 0.2005 0.7995 0.0000
Cd3 0.3621 0.1013 0.7480
Cd4 0.4790 0.4790 0.7271
Cd5 0.5210 0.5210 0.2729
Cd6 0.6379 0.8987 0.2520
Cd7 0.7995 0.2005 0.0000
Cd8 0.8987 0.6379 0.2520

=====

- total moment of number 1 (HoEr2Cd3)?
  0.00 μB/cell